[1]
The following is a DFT calculation (PBE) of a relaxed Gd3In3IrPt2 crystal.

The structure belongs to space group P-62m (No. 189); the cell edges are 7.6301, 7.6301 and 3.9609 Å and the angles 90.00°, 90.00° and 120.00°. The distinct sites, in fractional coordinates, are Gd at (0.0000, 0.5963, 0.0000), In at (0.0000, 0.2550, 0.5000), Ir at (0.0000, 0.0000, 0.0000) and Pt at (0.3333, 0.6667, 0.5000).

The calculation puts the total energy at -5.69 eV/atom.


[2]
The following is a DFT calculation (PBE) of a relaxed SrMgReTc crystal.

The structure belongs to space group F-43m (No. 216); the cell edges are 6.709, 6.709 and 6.709 Å and the angles 90.00°, 90.00° and 90.00°. The distinct sites, in fractional coordinates, are Sr at (0.000, 0.000, 0.000), Mg at (0.250, 0.250, 0.250), Re at (0.250, 0.250, 0.750) and Tc at (0.000, 0.000, 0.500).

For the energy above the most stable polymorph in this dataset, the calculation gives 0.013 eV per formula unit. The calculation puts the total energy at -5.71 eV/atom.


[3]
The following is a DFT calculation (PBE) of a relaxed Tl2GaOsO6 crystal.

The structure belongs to space group Fm-3m (No. 225); the cell edges are 7.889, 7.889 and 7.889 Å and the angles 90.00°, 90.00° and 90.00°. The distinct sites, in fractional coordinates, are Tl at (0.250, 0.250, 0.250), Ga at (0.000, 0.000, 0.000), Os at (0.000, 0.000, 0.500) and O at (0.000, 0.000, 0.256).

The calculation puts the total energy at -5.82 eV/atom.


[4]
The following is a DFT calculation (PBE) of a relaxed BeAlCdFe crystal.

The structure belongs to space group F-43m (No. 216); the cell edges are 6.002, 6.002 and 6.002 Å and the angles 90.00°, 90.00° and 90.00°. The distinct sites, in fractional coordinates, are Be at (0.000, 0.000, 0.000), Al at (0.000, 0.000, 0.500), Cd at (0.250, 0.250, 0.250) and Fe at (0.250, 0.250, 0.750).

For the energy above the most stable polymorph in this dataset, the calculation gives 0.000 eV per formula unit. The calculation puts the total energy at -3.91 eV/atom.


[5]
The following is a DFT calculation (PBE) of a relaxed ZnPbSO crystal.

The structure belongs to space group Pbam (No. 55); the cell edges are 9.620, 18.186 and 3.590 Å and the angles 90.00°, 90.00° and 90.00°. The distinct sites, in fractional coordinates, are Zn at (0.088, 0.079, 0.000), Zn at (0.088, 0.616, 0.000), Pb at (0.017, 0.230, 0.500), Pb at (0.243, 0.398, 0.500), S at (0.215, 0.505, 0.000), S at (0.227, 0.213, 0.000), O at (0.002, 0.630, 0.500) and O at (0.007, 0.093, 0.500).

For the energy above the most stable polymorph in this dataset, the calculation gives 0.745 eV per formula unit. The calculation puts the total energy at -4.28 eV/atom.


[6]
The following is a DFT calculation (PBE) of a relaxed RbCu2PS4 crystal.

The structure belongs to space group Ama2 (No. 40); the cell edges are 7.387, 18.518 and 5.763 Å and the angles 90.00°, 90.00° and 90.00°. The distinct sites, in fractional coordinates, are Rb at (0.250, 0.182, 0.000), Cu at (0.000, 0.000, 0.721), Cu at (0.250, 0.389, 0.766), P at (0.250, 0.382, 0.265), S at (0.023, 0.386, 0.052), S at (0.250, 0.294, 0.479) and S at (0.250, 0.475, 0.470).

The calculation puts the total energy at -4.23 eV/atom.


[7]
The following is a DFT calculation (PBE) of a relaxed Nb3SeI6Br crystal.

The structure belongs to space group P3m1 (No. 156); the cell edges are 7.5927, 7.5927 and 7.2176 Å and the angles 90.00°, 90.00° and 120.00°. The distinct sites, in fractional coordinates, are Nb at (0.0682, 0.5341, 0.0000), Se at (0.3333, 0.6667, 0.2573), I at (0.1640, 0.3280, 0.7409), I at (0.3289, 0.1645, 0.2187) and Br at (0.6667, 0.3333, 0.8219).

The calculation puts the total energy at -4.69 eV/atom.


[8]
The following is a DFT calculation (PBE) of a relaxed Hf2ReMo2 crystal.

The structure belongs to space group I4/mmm (No. 139); the cell edges are 3.505, 3.505 and 15.102 Å and the angles 90.00°, 90.00° and 90.00°. The distinct sites, in fractional coordinates, are Hf at (0.000, 0.000, 0.095), Re at (0.000, 0.000, 0.500) and Mo at (0.000, 0.500, 0.250).

The calculation puts the total energy at -10.29 eV/atom. The calculation puts the formation energy at 0.51 eV/atom.


[9]
The following is a DFT calculation (PBE) of a relaxed TaBeSiTc crystal.

The structure belongs to space group F-43m (No. 216); the cell edges are 6.010, 6.010 and 6.010 Å and the angles 90.00°, 90.00° and 90.00°. The distinct sites, in fractional coordinates, are Ta at (0.000, 0.000, 0.000), Be at (0.250, 0.250, 0.250), Si at (0.000, 0.000, 0.500) and Tc at (0.250, 0.250, 0.750).

For the energy above the most stable polymorph in this dataset, the calculation gives 0.000 eV per formula unit. The calculation puts the total energy at -8.02 eV/atom.


[10]
The following is a DFT calculation (PBE) of a relaxed CsNaTcTe3 crystal.

The structure belongs to space group P2_1/m (No. 11); the cell edges are 9.329, 4.079 and 11.304 Å and the angles 90.00°, 114.29° and 90.00°. The distinct sites, in fractional coordinates, are Cs at (0.244, 0.250, 0.223), Na at (0.438, 0.250, 0.883), Tc at (0.191, 0.750, 0.659), Te at (0.026, 0.750, 0.389), Te at (0.211, 0.750, 0.905) and Te at (0.348, 0.250, 0.602).

The calculation puts the total energy at -4.05 eV/atom.


[11]
The following is a DFT calculation (PBE) of a relaxed YMgSi2Pt4 crystal.

The structure belongs to space group Amm2 (No. 38); the cell edges are 7.071, 3.733 and 10.165 Å and the angles 90.00°, 90.00° and 90.00°. The distinct sites, in fractional coordinates, are Y at (0.000, 0.000, 0.000), Mg at (0.500, 0.000, 0.093), Si at (0.000, 0.000, 0.282), Si at (0.500, 0.000, 0.817), Pt at (0.205, 0.000, 0.693) and Pt at (0.303, 0.000, 0.410).

The calculation puts the total energy at -6.33 eV/atom.


[12]
The following is a DFT calculation (PBE) of a relaxed ZnGeTe crystal.

The structure belongs to space group F-43m (No. 216); the cell edges are 6.850, 6.850 and 6.850 Å and the angles 90.00°, 90.00° and 90.00°. The distinct sites, in fractional coordinates, are Zn at (0.000, 0.000, 0.000), Ge at (0.250, 0.250, 0.750) and Te at (0.000, 0.000, 0.500).

For the energy above the most stable polymorph in this dataset, the calculation gives 0.000 eV per formula unit. The calculation puts the total energy at -2.76 eV/atom.


[13]
The following is a DFT calculation (PBE) of a relaxed AcCoSi crystal.

The structure belongs to space group F-43m (No. 216); the cell edges are 6.838, 6.838 and 6.838 Å and the angles 90.00°, 90.00° and 90.00°. The distinct sites, in fractional coordinates, are Ac at (0.000, 0.000, 0.000), Co at (0.250, 0.250, 0.750) and Si at (0.250, 0.250, 0.250).

For the energy above the most stable polymorph in this dataset, the calculation gives 4.402 eV per formula unit. The calculation puts the total energy at -4.66 eV/atom.


[14]
The following is a DFT calculation (PBE) of a relaxed Zr6CoSn2 crystal.

The structure belongs to space group P-62m (No. 189); the cell edges are 8.0000, 8.0000 and 3.4900 Å and the angles 90.00°, 90.00° and 120.00°. The distinct sites, in fractional coordinates, are Zr at (0.0000, 0.3958, 0.0000), Zr at (0.0000, 0.7585, 0.5000), Co at (0.0000, 0.0000, 0.0000) and Sn at (0.3333, 0.6667, 0.5000).

The calculation puts the total energy at -7.81 eV/atom.


[15]
The following is a DFT calculation (PBE) of a relaxed ZrTa4Tc5 crystal.

The structure belongs to space group P4/mmm (No. 123); the cell edges are 3.200, 3.200 and 16.073 Å and the angles 90.00°, 90.00° and 90.00°. The distinct sites, in fractional coordinates, are Zr at (0.000, 0.000, 0.000), Ta at (0.000, 0.000, 0.202), Ta at (0.000, 0.000, 0.401), Tc at (0.500, 0.500, 0.107), Tc at (0.500, 0.500, 0.303) and Tc at (0.500, 0.500, 0.500).

The calculation puts the total energy at -11.26 eV/atom. The calculation puts the formation energy at -0.48 eV/atom.


[16]
The following is a DFT calculation (PBE) of a relaxed NbBr2ClO crystal.

The structure belongs to space group C2 (No. 5); the cell edges are 13.907, 3.960 and 11.712 Å and the angles 90.00°, 120.85° and 90.00°. The distinct sites, in fractional coordinates, are Nb at (0.125, 0.000, 0.200), Br at (0.100, 0.063, 0.955), Br at (0.172, 0.556, 0.710), Cl at (0.107, 0.055, 0.385) and O at (0.117, 0.545, 0.187).

For the energy above the most stable polymorph in this dataset, the calculation gives 0.016 eV per formula unit. The calculation puts the total energy at -5.48 eV/atom.


[17]
The following is a DFT calculation (PBE) of a relaxed DyHoBr2NCl crystal.

The structure belongs to space group C2/m (No. 12); the cell edges are 17.764, 3.848 and 11.300 Å and the angles 90.00°, 124.13° and 90.00°. The distinct sites, in fractional coordinates, are Dy at (0.078, 0.000, 0.461), Ho at (0.134, 0.500, 0.786), Br at (0.043, 0.500, 0.245), Br at (0.168, 0.000, 0.017), N at (0.074, 0.000, 0.656) and Cl at (0.206, 0.500, 0.615).

For the energy above the most stable polymorph in this dataset, the calculation gives 0.036 eV per formula unit. The calculation puts the total energy at -5.72 eV/atom.


[18]
The following is a DFT calculation (PBE) of a relaxed Ta4InGaC2 crystal.

The structure belongs to space group P-6m2 (No. 187); the cell edges are 3.1476, 3.1476 and 14.0744 Å and the angles 90.00°, 90.00° and 120.00°. The distinct sites, in fractional coordinates, are Ta at (0.0000, 0.0000, 0.1544), Ta at (0.6667, 0.3333, 0.3272), In at (0.0000, 0.0000, 0.5000), Ga at (0.6667, 0.3333, 0.0000) and C at (0.3333, 0.6667, 0.2412).

The calculation puts the total energy at -9.40 eV/atom.


[19]
The following is a DFT calculation (PBE) of a relaxed TbDyTlNi2 crystal.

The structure belongs to space group Amm2 (No. 38); the cell edges are 3.682, 3.894 and 14.464 Å and the angles 90.00°, 90.00° and 90.00°. The distinct sites, in fractional coordinates, are Tb at (0.000, 0.000, 0.000), Dy at (0.000, 0.000, 0.722), Tl at (0.500, 0.000, 0.361), Ni at (0.500, 0.000, 0.160) and Ni at (0.500, 0.000, 0.562).

The calculation puts the total energy at -5.02 eV/atom.


[20]
The following is a DFT calculation (PBE) of a relaxed CuICl crystal.

The structure belongs to space group P-1 (No. 2); the cell edges are 4.488, 6.701 and 6.859 Å and the angles 67.79°, 73.19° and 76.08°. The distinct sites, in fractional coordinates, are Cu at (0.234, 0.266, 0.004), I at (0.450, 0.038, 0.743) and Cl at (0.062, 0.479, 0.224).

The calculation puts the total energy at -2.68 eV/atom.